Record 1
A plane-wave DFT calculation with GGA-PBE was carried out for a relaxed PrDy7Er5 crystal.

Values from the calculation:
calculated volume = 32.759 Å³/atom
magnetic moment = 0.0 Bohr magnetons per cell
density of states at the Fermi level = 1.974 states/eV per atom
DFT formation energy = 248 meV per atom

a b c (Å): 6.649 8.668 8.668
angles (deg): 79.80 67.45 67.45
Sites, in units of the cell vectors:
Pr 0.968 0.032 0.032
Dy 0.576 0.424 0.424
Dy 0.270 0.730 0.730
Dy 0.019 0.309 0.653
Dy 0.019 0.653 0.309
Dy 0.265 0.235 0.235
Dy 0.520 0.810 0.150
Dy 0.520 0.150 0.810
Er 0.533 0.001 0.462
Er 0.004 0.001 0.462
Er 0.533 0.462 0.001
Er 0.004 0.462 0.001
Er 0.772 0.728 0.728

Record 2
A plane-wave DFT calculation with GGA-PBE was carried out for a relaxed Pr8Dy2Er crystal.

Values from the calculation:
calculated volume = 35.252 Å³/atom
magnetic moment = 0.0 Bohr magnetons per cell
density of states at the Fermi level = 1.633 states/eV per atom
DFT formation energy = 165 meV per atom

a b c (Å): 6.764 10.412 10.412
angles (deg): 38.58 59.98 59.98
Sites, in units of the cell vectors:
Pr 0.232 0.347 0.824
Pr 0.768 0.176 0.653
Pr 0.167 0.755 0.755
Pr 0.833 0.245 0.245
Pr 0.232 0.824 0.347
Pr 0.768 0.653 0.176
Pr 0.726 0.596 0.596
Pr 0.274 0.404 0.404
Dy 0.579 0.806 0.806
Dy 0.421 0.194 0.194
Er 0.000 0.000 0.000

Record 3
A plane-wave DFT calculation with GGA-PBE was carried out for a relaxed PrDy3Er crystal.

Values from the calculation:
calculated volume = 32.600 Å³/atom
magnetic moment = 0.0 Bohr magnetons per cell
density of states at the Fermi level = 1.684 states/eV per atom
DFT formation energy = 17 meV per atom

a b c (Å): 9.617 5.691 6.300
angles (deg): 90.00 108.99 90.00
Sites, in units of the cell vectors:
Pr 0.200 0.450 0.431
Pr 0.800 0.950 0.569
Dy 0.203 0.950 0.769
Dy 0.001 0.450 0.836
Dy 0.597 0.450 0.635
Dy 0.403 0.950 0.365
Dy 0.999 0.950 0.164
Dy 0.797 0.450 0.231
Er 0.598 0.950 0.966
Er 0.402 0.450 0.034